## Tb9Sb5O5 (SCAN)

Data for a crystal of Tb9Sb5O5 relaxed with PBEsol.

a b c (Å): 9.787 9.787 8.792
angles (deg): 90.00 90.00 90.00
Fractional positions:
Tb  0.025  0.168  0.002
Tb  0.045  0.646  0.657
Tb  0.146  0.955  0.343
Tb  0.168  0.475  0.002
Tb  0.250  0.250  0.671
Tb  0.332  0.025  0.002
Tb  0.354  0.545  0.343
Tb  0.455  0.854  0.657
Tb  0.475  0.332  0.002
Tb  0.525  0.668  0.998
Tb  0.545  0.146  0.343
Tb  0.646  0.455  0.657
Tb  0.668  0.975  0.998
Tb  0.750  0.750  0.329
Tb  0.832  0.525  0.998
Tb  0.854  0.045  0.657
Tb  0.955  0.354  0.343
Tb  0.975  0.832  0.998
Sb  0.054  0.654  0.301
Sb  0.154  0.946  0.699
Sb  0.250  0.250  0.316
Sb  0.346  0.554  0.699
Sb  0.446  0.846  0.301
Sb  0.554  0.154  0.699
Sb  0.654  0.446  0.301
Sb  0.750  0.750  0.684
Sb  0.846  0.054  0.301
Sb  0.946  0.346  0.699
O  0.025  0.629  0.912
O  0.129  0.975  0.088
O  0.250  0.250  0.936
O  0.371  0.525  0.088
O  0.475  0.871  0.912
O  0.525  0.129  0.088
O  0.629  0.475  0.912
O  0.750  0.750  0.064
O  0.871  0.025  0.912
O  0.975  0.371  0.088

Results
- calculated density (Mg/m³) = 8.357
- symmetry = P4/n
- VASP energy (Ry per atom) = -2.6451
- formation energy from raw total energies (eV per atom) = -2.39